Record 1
The following is a DFT calculation (PBE-GGA) of a geometry-optimized LiYScF2 structure.

Geometry as CIF:
```
data_LiYScF2
_chemical_formula_sum 'Li1 Y1 Sc1 F2'
_cell_length_a 4.1158
_cell_length_b 4.1158
_cell_length_c 7.2595
_cell_angle_alpha 90.00
_cell_angle_beta 90.00
_cell_angle_gamma 90.00
_symmetry_space_group_name_H-M 'P 4/m m m'
_symmetry_Int_Tables_number 123
_symmetry_space_group_name_Hall '-P 4 2'
loop_
_atom_site_label
_atom_site_type_symbol
_atom_site_fract_x
_atom_site_fract_y
_atom_site_fract_z
Li1 Li 0.0000 0.0000 0.0000
Y1 Y 0.5000 0.5000 0.0000
Sc1 Sc 0.5000 0.5000 0.5000
F1 F 0.0000 0.5000 0.5000
```

Values from the calculation:
Total magnetic moment: 1.02 Bohr magnetons per cell
Electronic total energy: -5.2007 eV per atom
Formation energy from raw total energies: -1.510 eV/atom


Record 2
The following is a DFT calculation (PBE-GGA) of a geometry-optimized LiScZnF6 structure.

Geometry as CIF:
```
data_LiScZnF6
_chemical_formula_sum 'Li2 Sc2 Zn2 F12'
_cell_length_a 5.3357
_cell_length_b 5.3357
_cell_length_c 9.0375
_cell_angle_alpha 90.00
_cell_angle_beta 90.00
_cell_angle_gamma 120.00
_symmetry_space_group_name_H-M 'P -3 1 c'
_symmetry_Int_Tables_number 163
_symmetry_space_group_name_Hall '-P 3 2c'
loop_
_atom_site_label
_atom_site_type_symbol
_atom_site_fract_x
_atom_site_fract_y
_atom_site_fract_z
Li1 Li 0.0000 0.0000 0.0000
Sc1 Sc 0.3333 0.6667 0.2500
Zn1 Zn 0.3333 0.6667 0.7500
F1 F 0.0039 0.3445 0.1310
```

Values from the calculation:
Total magnetic moment: 0.00 Bohr magnetons per cell
Electronic total energy: -5.4366 eV per atom
Formation energy from raw total energies: -3.131 eV/atom